w) Entry from Alexandria via LeMat-Bulk: a geometry-optimized AcTlTeS structure (PBE).

Cell: 8.696 8.696 8.696 Å, 29.86 29.86 29.86°
Element x y z (fractional)
Ac1 0.000 0.000 0.000
Tl1 0.840 0.840 0.840
Te1 0.423 0.423 0.423
S1 0.275 0.275 0.275

Output
magnetization	0.0	μB/f.u.

x) Entry from Alexandria via LeMat-Bulk: a geometry-optimized AcTlTeS structure (PBE).

Cell: 5.520 5.520 5.520 Å, 60.00 60.00 60.00°
Element x y z (fractional)
Ac1 0.000 0.000 0.000
Tl1 0.500 0.500 0.500
Te1 0.750 0.750 0.750
S1 0.250 0.250 0.250

Output
magnetization	0.0	μB/f.u.

Energetically preferred structure: w) | next structure: +10.9 kJ/mol of atoms

w) Entry from Alexandria via LeMat-Bulk: a geometry-optimized Ac2Th3S8 structure (PBE).

Cell: 8.505 8.505 6.826 Å, 106.63 106.63 59.37°
Element x y z (fractional)
Ac1 0.232 0.232 0.158
Ac2 0.768 0.768 0.842
Th1 0.247 0.753 0.500
Th2 0.500 0.500 0.000
Th3 0.753 0.247 0.500
S1 0.109 0.109 0.428
S2 0.153 0.602 0.084
S3 0.387 0.387 0.572
S4 0.398 0.847 0.916
S5 0.602 0.153 0.084
S6 0.613 0.613 0.428
S7 0.847 0.398 0.916
S8 0.891 0.891 0.572

Output
magnetization	0.0	μB/f.u.

x) Entry from Alexandria via LeMat-Bulk: a geometry-optimized Ac2Th3S8 structure (PBE).

Cell: 8.639 8.639 4.895 Å, 90.00 90.00 110.33°
Element x y z (fractional)
Ac1 0.233 0.767 0.000
Ac2 0.767 0.233 0.000
Th1 0.231 0.231 0.500
Th2 0.500 0.500 0.000
Th3 0.769 0.769 0.500
S1 0.118 0.882 0.500
S2 0.143 0.377 0.000
S3 0.377 0.143 0.000
S4 0.388 0.612 0.500
S5 0.612 0.388 0.500
S6 0.623 0.857 0.000
S7 0.857 0.623 0.000
S8 0.882 0.118 0.500

Output
magnetization	1.0	μB/f.u.

Energetically preferred structure: x) | next structure: +5.0 kJ/mol of atoms

w) Entry from Alexandria via LeMat-Bulk: a geometry-optimized Ac2Th2S7 structure (PBE).

Cell: 9.702 9.702 9.702 Å, 60.00 60.00 60.00°
Element x y z (fractional)
Ac1 0.000 0.000 0.000
Ac2 0.000 0.000 0.500
Ac3 0.000 0.500 0.000
Ac4 0.500 0.000 0.000
Th1 0.000 0.500 0.500
Th2 0.500 0.000 0.500
Th3 0.500 0.500 0.000
Th4 0.500 0.500 0.500
S1 0.125 0.125 0.125
S2 0.153 0.153 0.597
S3 0.153 0.597 0.153
S4 0.153 0.597 0.597
S5 0.403 0.403 0.847
S6 0.403 0.847 0.403
S7 0.403 0.847 0.847
S8 0.597 0.153 0.153
S9 0.597 0.153 0.597
S10 0.597 0.597 0.153
S11 0.847 0.403 0.403
S12 0.847 0.403 0.847
S13 0.847 0.847 0.403
S14 0.875 0.875 0.875

Output
magnetization	0.0	μB/f.u.

x) Entry from Alexandria via LeMat-Bulk: a geometry-optimized Ac2Th2S7 structure (PBE).

Cell: 4.804 4.804 13.824 Å, 90.00 90.00 90.00°
Element x y z (fractional)
Ac1 0.000 0.500 0.145
Ac2 0.500 0.000 0.855
Th1 0.000 0.500 0.619
Th2 0.500 0.000 0.381
S1 0.000 0.000 0.256
S2 0.000 0.000 0.500
S3 0.000 0.000 0.744
S4 0.500 0.500 0.000
S5 0.500 0.500 0.267
S6 0.500 0.500 0.500
S7 0.500 0.500 0.733

Output
magnetization	0.0	μB/f.u.

Energetically preferred structure: w) | next structure: +3.2 kJ/mol of atoms

w) Entry from Alexandria via LeMat-Bulk: a geometry-optimized Ac2TlS structure (PBE).

Cell: 9.113 9.113 9.113 Å, 26.81 26.81 26.81°
Element x y z (fractional)
Ac1 0.000 0.000 0.000
Ac2 0.195 0.195 0.195
Tl1 0.431 0.431 0.431
S1 0.599 0.599 0.599

Output
magnetization	0.0	μB/f.u.

x) Entry from Alexandria via LeMat-Bulk: a geometry-optimized Ac2TlS structure (PBE).

Cell: 8.664 8.664 8.664 Å, 29.08 29.08 29.08°
Element x y z (fractional)
Ac1 0.238 0.238 0.238
Ac2 0.762 0.762 0.762
Tl1 0.000 0.000 0.000
S1 0.500 0.500 0.500

Output
magnetization	0.0	μB/f.u.

Energetically preferred structure: x) | next structure: +4.5 kJ/mol of atoms